Compound: UGePd4
Source: Alexandria
Functional: PBE
Structure: relaxed

a = 4.982 Å, b = 5.548 Å, c = 7.744 Å
α = 90.00°, β = 102.11°, γ = 90.00°
Fractional coordinates of all 12 atoms:
1 U 0.209 0.250 0.376
2 U 0.791 0.750 0.624
3 Ge 0.347 0.250 0.014
4 Ge 0.653 0.750 0.986
5 Pd 0.160 0.750 0.040
6 Pd 0.224 0.750 0.404
7 Pd 0.320 0.002 0.734
8 Pd 0.320 0.498 0.734
9 Pd 0.680 0.502 0.266
10 Pd 0.680 0.998 0.266
11 Pd 0.776 0.250 0.596
12 Pd 0.840 0.250 0.960

## Properties
Formation energy in eV/atom: -0.435
Energy in eV/atom: -6.55
Space-group type: P2_1/m, No. 11
Density in g/cm³: 11.68